No. 1
Rb2Li2PbBr6 after structural relaxation. Source: the Alexandria database, functional PBE.

Computed properties:
The value obtained for the magnetic moment is 0.0 μB per formula unit. For the formation energy from raw total energies, the calculation gives -1413 meV/atom. As for the total DFT energy (no corrections): -0.23419 Ry/atom. The crystal system is monoclinic.

Geometry as CIF:
```
data_Rb2Li2PbBr6
_space_group_name_H-M_alt 'C 1 2/m 1'
_space_group_IT_number 12
_cell_length_a 13.559
_cell_length_b 8.062
_cell_length_c 8.484
_cell_angle_alpha 90.00
_cell_angle_beta 116.69
_cell_angle_gamma 90.00
loop_
_space_group_symop_operation_xyz
'x,y,z'
'-x,-y,-z'
'-x,y,-z'
'x,-y,z'
'x+1/2,y+1/2,z'
'-x+1/2,-y+1/2,-z'
'-x+1/2,y+1/2,-z'
'x+1/2,-y+1/2,z'
loop_
_atom_site_label
_atom_site_type_symbol
_atom_site_fract_x
_atom_site_fract_y
_atom_site_fract_z
Rb1 Rb 0.211 0.000 0.172
Li1 Li 0.057 0.500 0.261
Pb1 Pb 0.000 0.000 0.500
Br1 Br 0.057 0.251 0.801
Br2 Br 0.244 0.000 0.597
```


No. 2
LiSm4Zn2Ga after structural relaxation. Source: the Alexandria database, functional PBE.

Computed properties:
The value obtained for the magnetic moment is 0.0 μB per formula unit. As for the total DFT energy (no corrections): -0.26388 Ry/atom. The crystal system is trigonal.

Geometry as CIF:
```
data_LiSm4Zn2Ga
_space_group_name_H-M_alt 'R -3 m'
_space_group_IT_number 166
_space_group_name_Hall '-R 3 2"'
_cell_length_a 5.1717
_cell_length_b 5.1717
_cell_length_c 25.5112
_cell_angle_alpha 90.00
_cell_angle_beta 90.00
_cell_angle_gamma 120.00
loop_
_atom_site_label
_atom_site_type_symbol
_atom_site_fract_x
_atom_site_fract_y
_atom_site_fract_z
Li1 Li 0.0000 0.0000 0.0000
Sm1 Sm 0.0000 0.0000 0.1272
Sm2 Sm 0.0000 0.0000 0.3780
Zn1 Zn 0.0000 0.0000 0.2553
Ga1 Ga 0.0000 0.0000 0.5000
```


No. 3
KNi2Ag after structural relaxation. Source: the Alexandria database, functional PBE.

Computed properties:
The value obtained for the magnetic moment is 1.0 μB per formula unit. The calculation puts the excess energy over the best structure of this formula in the dataset at 0.177 eV per atom. As for the total DFT energy (no corrections): -0.24187 Ry/atom. The crystal system is orthorhombic.

Geometry as CIF:
```
data_KNi2Ag
_space_group_name_H-M_alt 'I m m 2'
_space_group_IT_number 44
_cell_length_a 2.735
_cell_length_b 5.236
_cell_length_c 10.426
_cell_angle_alpha 90.00
_cell_angle_beta 90.00
_cell_angle_gamma 90.00
loop_
_space_group_symop_operation_xyz
'x,y,z'
'-x,-y,z'
'-x,y,z'
'x,-y,z'
'x+1/2,y+1/2,z+1/2'
'-x+1/2,-y+1/2,z+1/2'
'-x+1/2,y+1/2,z+1/2'
'x+1/2,-y+1/2,z+1/2'
loop_
_atom_site_label
_atom_site_type_symbol
_atom_site_fract_x
_atom_site_fract_y
_atom_site_fract_z
K1 K 0.000 0.000 0.000
Ni1 Ni 0.000 0.000 0.477
Ni2 Ni 0.000 0.500 0.793
Ag1 Ag 0.000 0.500 0.202
```


No. 4
KAgIBr2 after structural relaxation. Source: the Alexandria database, functional PBE.

Computed properties:
The value obtained for the magnetic moment is 0.0 μB per formula unit. The calculation puts the excess energy over the best structure of this formula in the dataset at 0.002 eV per atom. For the formation energy from raw total energies, the calculation gives -754 meV/atom. As for the total DFT energy (no corrections): -0.18541 Ry/atom. The crystal system is orthorhombic.

Geometry as CIF:
```
data_KAgIBr2
_space_group_name_H-M_alt 'C m c m'
_space_group_IT_number 63
_space_group_name_Hall '-C 2c 2'
_cell_length_a 4.486
_cell_length_b 17.124
_cell_length_c 8.832
_cell_angle_alpha 90.00
_cell_angle_beta 90.00
_cell_angle_gamma 90.00
loop_
_atom_site_label
_atom_site_type_symbol
_atom_site_fract_x
_atom_site_fract_y
_atom_site_fract_z
K1 K 0.000 0.207 0.250
Ag1 Ag 0.000 0.500 0.000
I1 I 0.000 0.006 0.750
Br1 Br 0.000 0.350 0.503
```


No. 5
Zr2ScW after structural relaxation. Source: the Alexandria database, functional PBE.

Computed properties:
The value obtained for the magnetic moment is 0.0 μB per formula unit. The calculation puts the excess energy over the best structure of this formula in the dataset at 0.017 eV per atom. As for the total DFT energy (no corrections): -0.65773 Ry/atom. The crystal system is orthorhombic.

Geometry as CIF:
```
data_Zr2ScW
_space_group_name_H-M_alt 'I m m m'
_space_group_IT_number 71
_space_group_name_Hall '-I 2 2'
_cell_length_a 3.439
_cell_length_b 5.084
_cell_length_c 9.729
_cell_angle_alpha 90.00
_cell_angle_beta 90.00
_cell_angle_gamma 90.00
loop_
_atom_site_label
_atom_site_type_symbol
_atom_site_fract_x
_atom_site_fract_y
_atom_site_fract_z
Zr1 Zr 0.000 0.000 0.219
Sc1 Sc 0.000 0.500 0.000
W1 W 0.000 0.500 0.500
```


No. 6
YAgPdAu after structural relaxation. Source: the Alexandria database, functional PBE.

Computed properties:
The value obtained for the magnetic moment is 0.0 μB per formula unit. The calculation puts the excess energy over the best structure of this formula in the dataset at 0.004 eV per atom. As for the total DFT energy (no corrections): -0.37051 Ry/atom. The crystal system is tetragonal.

Geometry as CIF:
```
data_YAgPdAu
_space_group_name_H-M_alt 'I -4 m 2'
_space_group_IT_number 119
_space_group_name_Hall 'I -4 -2'
_cell_length_a 4.265
_cell_length_b 4.265
_cell_length_c 8.499
_cell_angle_alpha 90.00
_cell_angle_beta 90.00
_cell_angle_gamma 90.00
loop_
_atom_site_label
_atom_site_type_symbol
_atom_site_fract_x
_atom_site_fract_y
_atom_site_fract_z
Y1 Y 0.000 0.000 0.000
Ag1 Ag 0.000 0.000 0.500
Pd1 Pd 0.000 0.500 0.250
Au1 Au 0.000 0.500 0.750
```


No. 7
Li3SiO after structural relaxation. Source: the Alexandria database, functional PBE.

Computed properties:
The value obtained for the magnetic moment is 0.0 μB per formula unit. The calculation puts the excess energy over the best structure of this formula in the dataset at 0.000 eV per atom. For the formation energy from raw total energies, the calculation gives -760 meV/atom. As for the total DFT energy (no corrections): -0.29282 Ry/atom. The crystal system is cubic.

Geometry as CIF:
```
data_Li3SiO
_space_group_name_H-M_alt 'P m -3 m'
_space_group_IT_number 221
_space_group_name_Hall '-P 4 2 3'
_cell_length_a 3.916
_cell_length_b 3.916
_cell_length_c 3.916
_cell_angle_alpha 90.00
_cell_angle_beta 90.00
_cell_angle_gamma 90.00
loop_
_atom_site_label
_atom_site_type_symbol
_atom_site_fract_x
_atom_site_fract_y
_atom_site_fract_z
Li1 Li 0.000 0.000 0.500
Si1 Si 0.500 0.500 0.500
O1 O 0.000 0.000 0.000
```


No. 8
Hf6Al3S after structural relaxation. Source: the Alexandria database, functional PBE.

Computed properties:
The value obtained for the magnetic moment is 0.0 μB per formula unit. For the formation energy from raw total energies, the calculation gives -248 meV/atom. As for the total DFT energy (no corrections): -0.57000 Ry/atom. The crystal system is monoclinic.

Geometry as CIF:
```
data_Hf6Al3S
_space_group_name_H-M_alt 'C 1 2/m 1'
_space_group_IT_number 12
_cell_length_a 10.476
_cell_length_b 5.934
_cell_length_c 8.009
_cell_angle_alpha 90.00
_cell_angle_beta 124.34
_cell_angle_gamma 90.00
loop_
_space_group_symop_operation_xyz
'x,y,z'
'-x,-y,-z'
'-x,y,-z'
'x,-y,z'
'x+1/2,y+1/2,z'
'-x+1/2,-y+1/2,-z'
'-x+1/2,y+1/2,-z'
'x+1/2,-y+1/2,z'
loop_
_atom_site_label
_atom_site_type_symbol
_atom_site_fract_x
_atom_site_fract_y
_atom_site_fract_z
Hf1 Hf 0.093 0.249 0.294
Hf2 Hf 0.232 0.500 0.911
Al1 Al 0.000 0.500 0.500
Al2 Al 0.143 0.000 0.666
S1 S 0.000 0.000 0.000
```


No. 9
Sm5Cd after structural relaxation. Source: the Alexandria database, functional PBE.

Computed properties:
The value obtained for the magnetic moment is 0.0 μB per formula unit. The calculation puts the excess energy over the best structure of this formula in the dataset at 0.041 eV per atom. As for the total DFT energy (no corrections): -0.30419 Ry/atom. The crystal system is orthorhombic.

Geometry as CIF:
```
data_Sm5Cd
_space_group_name_H-M_alt 'C m m m'
_space_group_IT_number 65
_space_group_name_Hall '-C 2 2'
_cell_length_a 4.944
_cell_length_b 15.352
_cell_length_c 4.972
_cell_angle_alpha 90.00
_cell_angle_beta 90.00
_cell_angle_gamma 90.00
loop_
_atom_site_label
_atom_site_type_symbol
_atom_site_fract_x
_atom_site_fract_y
_atom_site_fract_z
Sm1 Sm 0.000 0.000 0.000
Sm2 Sm 0.000 0.163 0.500
Sm3 Sm 0.000 0.332 0.000
Cd1 Cd 0.000 0.500 0.500
```


No. 10
FeRuBr2 after structural relaxation. Source: the Alexandria database, functional PBE.

Computed properties:
The value obtained for the magnetic moment is 4.0 μB per formula unit. The calculation puts the excess energy over the best structure of this formula in the dataset at 0.297 eV per atom. For the formation energy from raw total energies, the calculation gives 443 meV/atom. As for the total DFT energy (no corrections): -0.35488 Ry/atom. The crystal system is orthorhombic.

Geometry as CIF:
```
data_FeRuBr2
_space_group_name_H-M_alt 'I m m 2'
_space_group_IT_number 44
_cell_length_a 3.312
_cell_length_b 3.622
_cell_length_c 15.647
_cell_angle_alpha 90.00
_cell_angle_beta 90.00
_cell_angle_gamma 90.00
loop_
_space_group_symop_operation_xyz
'x,y,z'
'-x,-y,z'
'-x,y,z'
'x,-y,z'
'x+1/2,y+1/2,z+1/2'
'-x+1/2,-y+1/2,z+1/2'
'-x+1/2,y+1/2,z+1/2'
'x+1/2,-y+1/2,z+1/2'
loop_
_atom_site_label
_atom_site_type_symbol
_atom_site_fract_x
_atom_site_fract_y
_atom_site_fract_z
Fe1 Fe 0.000 0.000 0.000
Ru1 Ru 0.000 0.500 0.613
Br1 Br 0.000 0.000 0.422
Br2 Br 0.000 0.500 0.177
```